<w>
# RbMgSn3

An optimized crystal structure of RbMgSn3 (GGA-PBE, Alexandria).

Values from the calculation:
- Fermi-level density of states (states/eV per cell) = 4.33

a = 7.3045 Å, b = 7.3045 Å, c = 6.9868 Å
α = 90.00°, β = 90.00°, γ = 120.00°
Space group P6_3/mmc (No. 194)
Unique sites:
Rb1 0.3333 0.6667 0.2500 (multiplicity 2)
Mg1 0.0000 0.0000 0.0000 (multiplicity 2)
Sn1 0.1999 0.3997 0.7500 (multiplicity 6)



<x>
# RbMgSn3

An optimized crystal structure of RbMgSn3 (GGA-PBE, Alexandria).

Values from the calculation:
- Fermi-level density of states (states/eV per cell) = 8.43

a = 10.028 Å, b = 7.374 Å, c = 10.251 Å
α = 90.00°, β = 115.57°, γ = 90.00°
Space group P2_1/c (No. 14)
Unique sites:
Rb1 0.134 0.041 0.216 (multiplicity 4)
Mg1 0.454 0.648 0.099 (multiplicity 4)
Sn1 0.157 0.542 0.080 (multiplicity 4)
Sn2 0.292 0.561 0.396 (multiplicity 4)
Sn3 0.413 0.249 0.099 (multiplicity 4)



<x> is preferred energetically. Next in line: 49 meV/atom higher.



<w>
# RbMgSn3

An optimized crystal structure of RbMgSn3 (GGA-PBE, Alexandria).

Values from the calculation:
- Fermi-level density of states (states/eV per cell) = 2.90

a = 5.590 Å, b = 5.590 Å, c = 5.590 Å
α = 90.00°, β = 90.00°, γ = 90.00°
Space group Pm-3m (No. 221)
Unique sites:
Rb1 0.000 0.000 0.000 (multiplicity 1)
Mg1 0.500 0.500 0.500 (multiplicity 1)
Sn1 0.000 0.500 0.500 (multiplicity 3)



<x>
# RbMgSn3

An optimized crystal structure of RbMgSn3 (GGA-PBE, Alexandria).

Values from the calculation:
- Fermi-level density of states (states/eV per cell) = 6.73

a = 6.096 Å, b = 6.096 Å, c = 6.096 Å
α = 90.00°, β = 90.00°, γ = 90.00°
Space group Pm-3m (No. 221)
Unique sites:
Rb1 0.000 0.000 0.000 (multiplicity 1)
Mg1 0.500 0.500 0.500 (multiplicity 1)
Sn1 0.000 0.000 0.500 (multiplicity 3)



<w> is preferred energetically. Next in line: 1091 meV/atom higher.



<w>
# Rb2Mg2Sn

An optimized crystal structure of Rb2Mg2Sn (GGA-PBE, Alexandria).

Values from the calculation:
- Fermi-level density of states (states/eV per cell) = 8.95

a = 4.160 Å, b = 4.160 Å, c = 24.585 Å
α = 90.00°, β = 90.00°, γ = 90.00°
Space group I4/mmm (No. 139)
Unique sites:
Rb1 0.000 0.000 0.101 (multiplicity 4)
Mg1 0.000 0.500 0.250 (multiplicity 4)
Sn1 0.000 0.000 0.500 (multiplicity 2)



<x>
# Rb2Mg2Sn

An optimized crystal structure of Rb2Mg2Sn (GGA-PBE, Alexandria).

Values from the calculation:
- Fermi-level density of states (states/eV per cell) = 9.48

a = 10.979 Å, b = 10.979 Å, c = 3.425 Å
α = 90.00°, β = 90.00°, γ = 90.00°
Space group P4/mbm (No. 127)
Unique sites:
Rb1 0.192 0.308 0.000 (multiplicity 4)
Mg1 0.100 0.600 0.500 (multiplicity 4)
Sn1 0.000 0.000 0.000 (multiplicity 2)



<w> is preferred energetically. Next in line: 181 meV/atom higher.



<w>
# RbMg14Sn

An optimized crystal structure of RbMg14Sn (GGA-PBE, Alexandria).

Values from the calculation:
- Fermi-level density of states (states/eV per cell) = 16.02

a = 10.504 Å, b = 7.033 Å, c = 10.866 Å
α = 90.00°, β = 90.00°, γ = 90.00°
Space group Amm2 (No. 38)
Unique sites:
Rb1 0.000 0.000 0.000 (multiplicity 2)
Mg1 0.000 0.213 0.730 (multiplicity 4)
Mg2 0.247 0.000 0.271 (multiplicity 4)
Mg3 0.262 0.000 0.781 (multiplicity 4)
Mg4 0.265 0.231 0.528 (multiplicity 8)
Mg5 0.500 0.000 0.450 (multiplicity 2)
Mg6 0.500 0.000 0.960 (multiplicity 2)
Mg7 0.500 0.249 0.708 (multiplicity 4)
Sn1 0.000 0.000 0.453 (multiplicity 2)



<x>
# RbMg14Sn

An optimized crystal structure of RbMg14Sn (GGA-PBE, Alexandria).

Values from the calculation:
- Fermi-level density of states (states/eV per cell) = 7.76

a = 6.6479 Å, b = 6.6479 Å, c = 10.5467 Å
α = 90.00°, β = 90.00°, γ = 120.00°
Space group P-6m2 (No. 187)
Unique sites:
Rb1 0.0000 0.0000 0.0000 (multiplicity 1)
Mg1 0.0096 0.5048 0.0000 (multiplicity 3)
Mg2 0.1728 0.3457 0.2680 (multiplicity 6)
Mg3 0.5065 0.0129 0.5000 (multiplicity 3)
Mg4 0.6667 0.3333 0.2438 (multiplicity 2)
Sn1 0.0000 0.0000 0.5000 (multiplicity 1)



<w> is preferred energetically. Next in line: 18 meV/atom higher.



<w>
# RbSr3Mg

An optimized crystal structure of RbSr3Mg (GGA-PBE, Alexandria).

Values from the calculation:
- Fermi-level density of states (states/eV per cell) = 4.40

a = 6.709 Å, b = 6.709 Å, c = 6.709 Å
α = 90.00°, β = 90.00°, γ = 90.00°
Space group Pm-3m (No. 221)
Unique sites:
Rb1 0.000 0.000 0.000 (multiplicity 1)
Sr1 0.000 0.500 0.500 (multiplicity 3)
Mg1 0.500 0.500 0.500 (multiplicity 1)



<x>
# RbSr3Mg

An optimized crystal structure of RbSr3Mg (GGA-PBE, Alexandria).

Values from the calculation:
- Fermi-level density of states (states/eV per cell) = 11.70

a = 6.810 Å, b = 6.810 Å, c = 6.810 Å
α = 90.00°, β = 90.00°, γ = 90.00°
Space group Pm-3m (No. 221)
Unique sites:
Rb1 0.000 0.000 0.000 (multiplicity 1)
Sr1 0.000 0.000 0.500 (multiplicity 3)
Mg1 0.500 0.500 0.500 (multiplicity 1)



<w> is preferred energetically. Next in line: 729 meV/atom higher.



<w>
# RbSrMg14

An optimized crystal structure of RbSrMg14 (GGA-PBE, Alexandria).

Values from the calculation:
- Fermi-level density of states (states/eV per cell) = 8.83

a = 6.8466 Å, b = 6.8466 Å, c = 10.7228 Å
α = 90.00°, β = 90.00°, γ = 120.00°
Space group P-6m2 (No. 187)
Unique sites:
Rb1 0.0000 0.0000 0.0000 (multiplicity 1)
Sr1 0.0000 0.0000 0.5000 (multiplicity 1)
Mg1 0.0094 0.5047 0.0000 (multiplicity 3)
Mg2 0.0098 0.5049 0.5000 (multiplicity 3)
Mg3 0.1793 0.3586 0.2535 (multiplicity 6)
Mg4 0.6667 0.3333 0.2506 (multiplicity 2)



<x>
# RbSrMg14

An optimized crystal structure of RbSrMg14 (GGA-PBE, Alexandria).

Values from the calculation:
- Fermi-level density of states (states/eV per cell) = 18.50

a = 10.914 Å, b = 6.563 Å, c = 11.959 Å
α = 90.00°, β = 90.00°, γ = 90.00°
Space group Amm2 (No. 38)
Unique sites:
Rb1 0.000 0.000 0.000 (multiplicity 2)
Sr1 0.000 0.000 0.498 (multiplicity 2)
Mg1 0.000 0.249 0.750 (multiplicity 4)
Mg2 0.253 0.000 0.678 (multiplicity 4)
Mg3 0.259 0.000 0.181 (multiplicity 4)
Mg4 0.277 0.249 0.420 (multiplicity 8)
Mg5 0.500 0.000 0.015 (multiplicity 2)
Mg6 0.500 0.000 0.516 (multiplicity 2)
Mg7 0.500 0.249 0.757 (multiplicity 4)



<w> is preferred energetically. Next in line: 6 meV/atom higher.



<w>
# RbSrMg3

An optimized crystal structure of RbSrMg3 (GGA-PBE, Alexandria).

Values from the calculation:
- Fermi-level density of states (states/eV per cell) = 3.59

a = 6.195 Å, b = 6.195 Å, c = 6.195 Å
α = 90.00°, β = 90.00°, γ = 90.00°
Space group Pm-3m (No. 221)
Unique sites:
Rb1 0.000 0.000 0.000 (multiplicity 1)
Sr1 0.500 0.500 0.500 (multiplicity 1)
Mg1 0.000 0.000 0.500 (multiplicity 3)



<x>
# RbSrMg3

An optimized crystal structure of RbSrMg3 (GGA-PBE, Alexandria).

Values from the calculation:
- Fermi-level density of states (states/eV per cell) = 4.58

a = 6.596 Å, b = 6.596 Å, c = 6.596 Å
α = 90.00°, β = 90.00°, γ = 90.00°
Space group Pm-3m (No. 221)
Unique sites:
Rb1 0.000 0.000 0.000 (multiplicity 1)
Sr1 0.500 0.500 0.500 (multiplicity 1)
Mg1 0.000 0.500 0.500 (multiplicity 3)



<x> is preferred energetically. Next in line: 155 meV/atom higher.



<w>
# RbMg2Ta

An optimized crystal structure of RbMg2Ta (GGA-PBE, Alexandria).

Values from the calculation:
- Fermi-level density of states (states/eV per cell) = 16.44

a = 8.765 Å, b = 8.765 Å, c = 6.960 Å
α = 90.00°, β = 90.00°, γ = 90.00°
Space group I-42d (No. 122)
Unique sites:
Rb1 0.000 0.000 0.000 (multiplicity 4)
Mg1 0.193 0.250 0.625 (multiplicity 8)
Ta1 0.000 0.000 0.500 (multiplicity 4)



<x>
# RbMg2Ta

An optimized crystal structure of RbMg2Ta (GGA-PBE, Alexandria).

Values from the calculation:
- Fermi-level density of states (states/eV per cell) = 27.45

a = 7.569 Å, b = 7.569 Å, c = 7.569 Å
α = 90.00°, β = 90.00°, γ = 90.00°
Space group Fm-3m (No. 225)
Unique sites:
Rb1 0.000 0.000 0.000 (multiplicity 4)
Mg1 0.250 0.250 0.250 (multiplicity 8)
Ta1 0.000 0.000 0.500 (multiplicity 4)



<x> is preferred energetically. Next in line: 172 meV/atom higher.